1.
# Zr2ScCd

A geometry-optimized Zr2ScCd structure (GGA-PBE, Alexandria via LeMat-Bulk).

abc: 4.1826 4.1826 21.7612
angles: 90.00 90.00 90.00
Closest atoms and distances in Å follow each position.
Space group I-42d (No. 122)
One atom of each set of equivalent atoms:
Zr: 0.2445 0.2500 0.1250  4 Zr 2.93-2.99, 2 Cd 3.09, 2 Sc 3.10
Sc: 0.0000 0.0000 0.5000  4 Cd 2.96, 4 Zr 3.10
Cd: 0.0000 0.0000 0.0000  4 Sc 2.96, 4 Zr 3.09

Properties
Energy relative to the elements in eV per atom: 0.310
Polymorph energy (0 for the lowest one) in eV/atom: 0.428
Total DFT energy (no corrections) in eV/atom: -5.7758

***

2.
# AcPrIrCl

A geometry-optimized AcPrIrCl structure (GGA-PBE, Alexandria via LeMat-Bulk).

abc: 4.2470 4.2470 23.7694
angles: 90.00 90.00 120.00
Closest atoms and distances in Å follow each position.
Space group R3m (No. 160, hexagonal axes)
One atom of each set of equivalent atoms:
Ac: 0.0000 0.0000 0.0000  3 Ir 2.94
Pr: 0.0000 0.0000 0.7990  3 Ir 2.89
Ir: 0.0000 0.0000 0.4016  3 Pr 2.89, 3 Ac 2.94
Cl: 0.0000 0.0000 0.2224  3 Pr 3.26, 3 Ac 3.60

Properties
Total DFT energy (no corrections) in eV/atom: -6.1084
Formation energy from raw total energies in eV per atom: -1.21

***

3.
# La3Tl2Hg2

A geometry-optimized La3Tl2Hg2 structure (GGA-PBE, Alexandria via LeMat-Bulk).

abc: 4.9267 23.4502 3.5355
angles: 90.00 90.00 90.00
Closest atoms and distances in Å follow each position.
Space group Cmmm (No. 65)
One atom of each set of equivalent atoms:
La: 0.0000 0.0000 0.0000  8 Tl 3.53, 4 La 3.54-3.73
La: 0.0000 0.1592 0.0000  6 Hg 3.30-3.45, 2 La 3.54, 4 Tl 3.59
Tl: 0.0000 0.4231 0.5000  1 Hg 3.23, 8 La 3.53-3.59, 3 Tl 3.54-3.61
Hg: 0.0000 0.2853 0.5000  2 Hg 2.97, 1 Tl 3.23, 4 La 3.30

Properties
Energy relative to the elements in eV per atom: -0.443
Total DFT energy (no corrections) in eV/atom: -3.3174

***

4.
# HRuSe3

A geometry-optimized HRuSe3 structure (GGA-PBE, Alexandria via LeMat-Bulk).

abc: 4.9003 4.9003 4.9003
angles: 90.00 90.00 90.00
Closest atoms and distances in Å follow each position.
Space group Pm-3m (No. 221)
One atom of each set of equivalent atoms:
H: 0.0000 0.0000 0.0000  12 Se 3.47
Ru: 0.5000 0.5000 0.5000  6 Se 2.45
Se: 0.0000 0.5000 0.5000  2 Ru 2.45

Properties
Polymorph energy (0 for the lowest one) in eV/atom: 0.000
Total DFT energy (no corrections) in eV/atom: -3.7377

***

5.
# PrRh3

A geometry-optimized PrRh3 structure (GGA-PBE, Alexandria via LeMat-Bulk).

abc: 4.1797 4.1797 8.1430
angles: 90.00 90.00 90.00
Closest atoms and distances in Å follow each position.
Space group I4/mmm (No. 139)
One atom of each set of equivalent atoms:
Pr: 0.0000 0.0000 0.0000  12 Rh 2.92-2.96
Rh: 0.0000 0.0000 0.5000  8 Rh 2.92, 4 Pr 2.96
Rh: 0.0000 0.5000 0.2500  4 Pr 2.92, 8 Rh 2.92-2.96

Properties
Energy relative to the elements in eV per atom: -0.198
Total DFT energy (no corrections) in eV/atom: -6.9063

***

6.
# BeZnRe

A geometry-optimized BeZnRe structure (GGA-PBE, Alexandria via LeMat-Bulk).

abc: 2.9789 4.3179 12.1567
angles: 90.00 90.00 90.00
Closest atoms and distances in Å follow each position.
Space group Fmm2 (No. 42)
One atom of each set of equivalent atoms:
Be: 0.0000 0.0000 0.0000  2 Re 2.38, 2 Zn 2.44, 4 Be 2.62
Zn: 0.0000 0.0000 0.3411  2 Be 2.44, 4 Zn 2.62, 2 Re 2.73
Re: 0.0000 0.0000 0.6531  2 Be 2.38, 4 Re 2.62

Properties
Energy relative to the elements in eV per atom: 0.229
Polymorph energy (0 for the lowest one) in eV/atom: 0.038
Total DFT energy (no corrections) in eV/atom: -5.5872